! La2TbPr5Dy, relaxed, DFT PBE; values from VASP
&SYSTEM
  ibrav = 0, nat = 18, ntyp = 4
/
ATOMIC_SPECIES
La 138.91 La.upf
Tb 158.93 Tb.upf
Pr 140.91 Pr.upf
Dy 162.50 Dy.upf
ATOMIC_POSITIONS crystal
La 0.122 0.622 0.745
La 0.378 0.122 0.500
La 0.622 0.878 0.500
La 0.878 0.378 0.255
Tb 0.250 0.750 0.500
Tb 0.750 0.250 0.500
Pr 0.000 0.000 0.000
Pr 0.076 0.135 0.500
Pr 0.135 0.635 0.059
Pr 0.365 0.424 0.500
Pr 0.424 0.924 0.059
Pr 0.500 0.500 0.000
Pr 0.576 0.076 0.941
Pr 0.635 0.576 0.500
Pr 0.865 0.365 0.941
Pr 0.924 0.865 0.500
Dy 0.250 0.250 0.000
Dy 0.750 0.750 0.000
CELL_PARAMETERS angstrom
-4.353 4.353 8.465
4.353 -4.353 8.465
4.353 4.353 -8.465
! - Crystal system: tetragonal
! - E_tot: -4.53 eV/atom
! - Symmetry: No. 140

! LaTb2PrDy5, relaxed, DFT PBE; values from VASP
&SYSTEM
  ibrav = 0, nat = 18, ntyp = 4
/
ATOMIC_SPECIES
La 138.91 La.upf
Tb 158.93 Tb.upf
Pr 140.91 Pr.upf
Dy 162.50 Dy.upf
ATOMIC_POSITIONS crystal
La 0.250 0.250 0.000
La 0.750 0.750 0.000
Tb 0.117 0.617 0.734
Tb 0.383 0.117 0.500
Tb 0.617 0.883 0.500
Tb 0.883 0.383 0.266
Pr 0.250 0.750 0.500
Pr 0.750 0.250 0.500
Dy 0.000 0.000 0.000
Dy 0.070 0.164 0.500
Dy 0.164 0.664 0.094
Dy 0.336 0.430 0.500
Dy 0.430 0.930 0.094
Dy 0.500 0.500 0.000
Dy 0.570 0.070 0.906
Dy 0.664 0.570 0.500
Dy 0.836 0.336 0.906
Dy 0.930 0.836 0.500
CELL_PARAMETERS angstrom
-4.389 4.389 7.753
4.389 -4.389 7.753
4.389 4.389 -7.753
! - Crystal system: tetragonal
! - E_tot: -4.40 eV/atom
! - Symmetry: No. 140

! LaTbPr4Dy2, relaxed, DFT PBE; values from VASP
&SYSTEM
  ibrav = 0, nat = 8, ntyp = 4
/
ATOMIC_SPECIES
La 138.91 La.upf
Tb 158.93 Tb.upf
Pr 140.91 Pr.upf
Dy 162.50 Dy.upf
ATOMIC_POSITIONS crystal
La 0.000 0.000 0.000
Tb 0.500 0.500 0.000
Pr 0.250 0.000 0.748
Pr 0.251 0.500 0.254
Pr 0.749 0.500 0.746
Pr 0.750 0.000 0.252
Dy 0.000 0.500 0.500
Dy 0.500 0.000 0.500
CELL_PARAMETERS angstrom
6.323 0.000 0.000
0.000 3.676 0.000
-2.140 0.000 11.889
! - Crystal system: monoclinic
! - E_tot: -4.72 eV/atom
! - Symmetry: No. 10

In the order shown, the computed ΔE_f values come out to 0.24 0.26 0.02 eV/atom.